Tm2CdMoO8 (PBE+U, relaxed); size of the total moment = 1.7 μB per formula unit; DFT total energy = -6.764 eV per atom
1.0
3.556 -3.437 0.000
3.556 3.437 0.000
-0.045 0.000 6.910
Tm Cd Mo O
2 1 1 8
direct
0.003 0.003 0.250 Tm
0.997 0.997 0.750 Tm
0.500 0.500 0.500 Cd
0.500 0.500 0.000 Mo
0.193 0.807 0.500 O
0.215 0.785 0.000 O
0.309 0.309 0.801 O
0.315 0.315 0.205 O
0.685 0.685 0.795 O
0.691 0.691 0.199 O
0.785 0.215 0.000 O
0.807 0.193 0.500 O